# 1
The following is a PBE-GGA calculation of an optimized crystal structure of ZnSnOsO6, from Alexandria via LeMat-Bulk.

Cell lengths 5.1634, 5.1634, 8.9947 Å; angles 90.00, 90.00, 120.00 degrees
Closest atoms and distances in Å follow each position.
Fractional coordinates of all 18 atoms:
Zn 0.6667 0.3333 0.2500  6 O 2.09
Zn 0.3333 0.6667 0.7500  6 O 2.09
O 0.6452 0.6678 0.1290  1 Os 1.94, 1 Zn 2.09, 1 Sn 2.12
O 0.3322 0.3548 0.3710  1 Os 1.94, 1 Zn 2.09, 1 Sn 2.12
O 0.3548 0.0226 0.6290  1 Os 1.94, 1 Zn 2.09, 1 Sn 2.12
O 0.9774 0.6452 0.8710  1 Os 1.94, 1 Zn 2.09, 1 Sn 2.12
O 0.3322 0.9774 0.1290  1 Os 1.94, 1 Zn 2.09, 1 Sn 2.12
O 0.6678 0.6452 0.6290  1 Os 1.94, 1 Zn 2.09, 1 Sn 2.12
O 0.6452 0.9774 0.3710  1 Os 1.94, 1 Zn 2.09, 1 Sn 2.12
O 0.3548 0.3322 0.8710  1 Os 1.94, 1 Zn 2.09, 1 Sn 2.12
O 0.6678 0.0226 0.8710  1 Os 1.94, 1 Zn 2.09, 1 Sn 2.12
O 0.0226 0.3548 0.1290  1 Os 1.94, 1 Zn 2.09, 1 Sn 2.12
O 0.9774 0.3322 0.6290  1 Os 1.94, 1 Zn 2.09, 1 Sn 2.12
O 0.0226 0.6678 0.3710  1 Os 1.94, 1 Zn 2.09, 1 Sn 2.12
Sn 0.0000 0.0000 0.5000  6 O 2.12
Sn 0.0000 0.0000 0.0000  6 O 2.12
Os 0.6667 0.3333 0.7500  6 O 1.94
Os 0.3333 0.6667 0.2500  6 O 1.94

Output
Magnetization   3.83 μB/cell
Symmetry   P-31c, No. 163
E_form (uncorrected)   -1153 meV per atom

***

# 2
The following is a PBE-GGA calculation of an optimized crystal structure of Ca2ZrRh, from Alexandria via LeMat-Bulk.

Cell lengths 5.0571, 5.0572, 5.0571 Å; angles 120.06, 120.06, 89.90 degrees
Closest atoms and distances in Å follow each position.
Fractional coordinates of all 4 atoms:
Ca 0.2500 0.7500 0.5000  4 Ca 3.10, 4 Rh 3.10
Ca 0.0000 0.0000 0.0000  4 Zr 3.10, 4 Ca 3.10
Rh 0.5000 0.5000 0.0000  4 Ca 3.10, 4 Zr 3.10
Zr 0.7500 0.2500 0.5000  4 Rh 3.10, 4 Ca 3.10

Output
Magnetization   0.00 μB/cell
Symmetry   F-43m, No. 216
DFT formation energy   0.081 eV/atom
Polymorph energy (0 for the lowest one)   339 meV per atom

***

# 3
The following is a PBE-GGA calculation of an optimized crystal structure of Cs2MoPbS4, from Alexandria via LeMat-Bulk.

Cell lengths 6.8471, 8.0041, 13.1323 Å; angles 83.60, 74.89, 64.68 degrees
Closest atoms and distances in Å follow each position.
Fractional coordinates of all 16 atoms:
Pb 0.0000 0.0000 0.0000  4 S 2.80
Pb 0.7500 0.5000 0.5000  4 S 2.80
Mo 0.5000 0.0000 0.0000  4 S 2.32
Mo 0.2500 0.5000 0.5000  4 S 2.32
S 0.9065 0.6924 0.6003  1 Mo 2.32
S 0.8435 0.8076 0.8997  1 Mo 2.32
S 0.4932 0.3076 0.6003  1 Mo 2.32
S 0.4010 0.6924 0.3997  1 Mo 2.32
S 0.3490 0.8076 0.1003  1 Mo 2.32
S 0.5508 0.1924 0.1003  1 Mo 2.32
S 0.1992 0.3076 0.3997  1 Mo 2.32
S 0.2568 0.1924 0.8997  1 Mo 2.32
Cs 0.5687 0.5000 0.8626  6 S 3.76-4.16
Cs 0.8187 0.0000 0.3626  6 S 3.76-4.16
Cs 0.1813 0.0000 0.6374  6 S 3.76-4.16
Cs 0.9313 0.5000 0.1374  6 S 3.76-4.16

Output
Magnetization   4.15 μB/cell
Symmetry   Fddd, No. 70
E_form (uncorrected)   -664 meV per atom

***

Values of N(E_F), in order: 0.39; 1.04; 0.02, all in states/eV/atom.